Compound: CsK2GaAg
Source: Alexandria via LeMat-Bulk
Functional: PBE-GGA
Structure: optimized geometry

As for the formation energy: 0.101 eV per atom. The offset from the most stable computed form is 0.018 eV per atom. The total energy comes out at -1.68 eV/atom. The value obtained for the size of the total moment is 0.00 μB per cell.

It has space group P4/mmm (No. 123), with a = 6.761 Å, b = 6.761 Å, c = 5.111 Å, α = 90.00°, β = 90.00° and γ = 90.00°. Symmetry generates all atoms from Cs at (0.000, 0.000, 0.000), K at (0.000, 0.500, 0.500), Ga at (0.500, 0.500, 0.500) and Ag at (0.500, 0.500, 0.000).